[1]
Computed, not measured: a geometry-optimized TaBeTlAu2 structure at the PBE level of DFT.

Cell lengths 5.1828, 4.8517, 5.1828 Å; angles 90.00, 90.00, 90.00 degrees
Closest atoms and distances in Å follow each position.
Fractional positions:
Tl1 0.5000 0.5000 0.5000  8 Au 3.55, 4 Be 3.66
Au1 0.5000 0.0000 0.0000  2 Ta 2.59
Au2 0.0000 0.0000 0.5000  2 Ta 2.59
Ta1 0.0000 0.0000 0.0000  2 Be 2.43, 4 Au 2.59
Be1 0.0000 0.5000 0.0000  2 Ta 2.43

Properties
Magnetic moment, μB per cell: 0.00
Energy of formation, kJ/mol of formula units: 468
VASP energy, Ha/atom: -0.1444

[2]
Computed, not measured: a geometry-optimized Rb3Ac3ScTe8 structure at the PBE level of DFT.

Cell lengths 9.4339, 9.4365, 10.3509 Å; angles 117.14, 90.00, 119.99 degrees
Closest atoms and distances in Å follow each position.
Fractional positions:
Rb1 0.0000 0.0000 0.0000  6 Te 3.69-3.74
Rb2 0.5000 0.5000 0.0000  6 Te 3.69-3.74
Rb3 0.0000 0.5000 0.0000  6 Te 3.69-3.74
Ac1 0.0000 0.5000 0.5000  6 Te 3.32-3.34
Ac2 0.5000 0.5000 0.5000  6 Te 3.32-3.34
Ac3 0.5000 0.0000 0.5000  6 Te 3.32-3.34
Te1 0.7388 0.4775 0.7164  3 Ac 3.32, 3 Rb 3.69
Te2 0.2612 0.5225 0.2836  3 Ac 3.32, 3 Rb 3.69
Te3 0.2163 0.4325 0.6955  1 Sc 3.01, 2 Ac 3.34
Te4 0.7837 0.5675 0.3045  1 Sc 3.01, 2 Ac 3.34
Te5 0.2368 0.0205 0.3044  1 Sc 3.01, 2 Ac 3.34
Te6 0.7838 0.0205 0.3044  1 Sc 3.01, 2 Ac 3.34
Te7 0.7632 0.9795 0.6956  1 Sc 3.01, 2 Ac 3.34
Te8 0.2162 0.9795 0.6956  1 Sc 3.01, 2 Ac 3.34
Sc1 0.0000 0.0000 0.5000  6 Te 3.01

Properties
Magnetic moment, μB per cell: 0.00
Energy relative to the elements, uncorrected, eV/atom: -1.3218
VASP energy, Ha/atom: -0.1630

Which value of magnetic moment does entry 1 give?
0.00 μB per cell

What is the formula in the second record?
Rb3Ac3ScTe8

What did the second record say?
Computed, not measured: a geometry-optimized Rb3Ac3ScTe8 structure at the PBE level of DFT.

Cell lengths 9.4339, 9.4365, 10.3509 Å; angles 117.14, 90.00, 119.99 degrees
Closest atoms and distances in Å follow each position.
Fractional positions:
Rb1 0.0000 0.0000 0.0000  6 Te 3.69-3.74
Rb2 0.5000 0.5000 0.0000  6 Te 3.69-3.74
Rb3 0.0000 0.5000 0.0000  6 Te 3.69-3.74
Ac1 0.0000 0.5000 0.5000  6 Te 3.32-3.34
Ac2 0.5000 0.5000 0.5000  6 Te 3.32-3.34
Ac3 0.5000 0.0000 0.5000  6 Te 3.32-3.34
Te1 0.7388 0.4775 0.7164  3 Ac 3.32, 3 Rb 3.69
Te2 0.2612 0.5225 0.2836  3 Ac 3.32, 3 Rb 3.69
Te3 0.2163 0.4325 0.6955  1 Sc 3.01, 2 Ac 3.34
Te4 0.7837 0.5675 0.3045  1 Sc 3.01, 2 Ac 3.34
Te5 0.2368 0.0205 0.3044  1 Sc 3.01, 2 Ac 3.34
Te6 0.7838 0.0205 0.3044  1 Sc 3.01, 2 Ac 3.34
Te7 0.7632 0.9795 0.6956  1 Sc 3.01, 2 Ac 3.34
Te8 0.2162 0.9795 0.6956  1 Sc 3.01, 2 Ac 3.34
Sc1 0.0000 0.0000 0.5000  6 Te 3.01

Properties
Magnetic moment, μB per cell: 0.00
Energy relative to the elements, uncorrected, eV/atom: -1.3218
VASP energy, Ha/atom: -0.1630

Number 1 is which compound?
TaBeTlAu2